Here is CsMnBr2O8 after structural relaxation from the Alexandria database. Energies are from PBE with a Hubbard U.

Lattice parameters (Å, degrees): 5.7148 5.7148 8.9599 95.52 95.52 58.63
With the nearest neighbours (Å) after each atom.
Fractional positions:
Cs (0.0000, 0.0000, 0.0000)  10 O 3.26-3.56
Mn (0.0000, 0.0000, 0.5000)  2 O 1.69
Br (0.3863, 0.3863, 0.3091)  3 O 1.66-1.72
Br (0.6137, 0.6137, 0.6909)  3 O 1.66-1.72
O (0.1707, 0.1707, 0.5069)  1 Mn 1.69
O (0.2621, 0.7326, 0.3237)  1 Br 1.72
O (0.2674, 0.7379, 0.6763)  1 Br 1.72
O (0.3241, 0.3241, 0.1292)  1 Br 1.66
O (0.6759, 0.6759, 0.8708)  1 Br 1.66
O (0.7326, 0.2621, 0.3237)  1 Br 1.72
O (0.7379, 0.2674, 0.6763)  1 Br 1.72
O (0.8293, 0.8293, 0.4931)  1 Mn 1.69

Results
Crystal system = monoclinic
V = 248.3 Å³ per cell
Symmetry = No. 12
Mass density = 3.2 g/cm3
Raw total energy = -4.610 eV per atom